# Nd6SmS8 | the Open Quantum Materials Database | PBE-GGA | relaxed
data_Nd6SmS8
_chemical_formula_sum 'Nd24 Sm4 S32'
_cell_length_a 11.466
_cell_length_b 11.466
_cell_length_c 11.466
_cell_angle_alpha 90.00
_cell_angle_beta 90.00
_cell_angle_gamma 90.00
_space_group_name_H-M_alt 'F m -3 m'
_space_group_IT_number 225
_space_group_name_Hall '-F 4 2 3'
loop_
_atom_site_label
_atom_site_fract_x
_atom_site_fract_y
_atom_site_fract_z
Nd1 0.000 0.250 0.250
Sm1 0.000 0.000 0.000
S1 0.000 0.000 0.247
S2 0.250 0.250 0.250
# V in Å³ per atom: 25.126
# Electronic total energy in eV for the cell shown: -388.46
# Total moment in μB per cell: 0.1


# SrNd2S3 | the Open Quantum Materials Database | PBE-GGA | relaxed
data_SrNd2S3
_chemical_formula_sum 'Sr1 Nd2 S3'
_cell_length_a 4.1225
_cell_length_b 4.1225
_cell_length_c 10.1518
_cell_angle_alpha 90.00
_cell_angle_beta 90.00
_cell_angle_gamma 120.00
_space_group_name_H-M_alt 'P -3 m 1'
_space_group_IT_number 164
_space_group_name_Hall '-P 3 2"'
loop_
_atom_site_label
_atom_site_fract_x
_atom_site_fract_y
_atom_site_fract_z
Sr1 0.0000 0.0000 0.0000
Nd1 0.3333 0.6667 0.6533
S1 0.0000 0.0000 0.5000
S2 0.3333 0.6667 0.1751
# V in Å³ per atom: 24.903
# Electronic total energy in eV for the cell shown: -35.95
# Total moment in μB per cell: 0.0


# Tb2NdS3 | the Open Quantum Materials Database | PBE-GGA | relaxed
data_Tb2NdS3
_chemical_formula_sum 'Tb2 Nd1 S3'
_cell_length_a 3.9594
_cell_length_b 3.9594
_cell_length_c 9.7802
_cell_angle_alpha 90.00
_cell_angle_beta 90.00
_cell_angle_gamma 120.00
_space_group_name_H-M_alt 'P -3 m 1'
_space_group_IT_number 164
_space_group_name_Hall '-P 3 2"'
loop_
_atom_site_label
_atom_site_fract_x
_atom_site_fract_y
_atom_site_fract_z
Tb1 0.3333 0.6667 0.1636
Nd1 0.0000 0.0000 0.5000
S1 0.0000 0.0000 0.0000
S2 0.3333 0.6667 0.6777
# V in Å³ per atom: 22.130
# Electronic total energy in eV for the cell shown: -38.51
# Total moment in μB per cell: 0.0


# TbNdS2 | the Open Quantum Materials Database | PBE-GGA | relaxed
data_TbNdS2
_chemical_formula_sum 'Tb1 Nd1 S2'
_cell_length_a 3.997
_cell_length_b 3.997
_cell_length_c 5.655
_cell_angle_alpha 90.00
_cell_angle_beta 90.00
_cell_angle_gamma 90.00
_space_group_name_H-M_alt 'P 4/m m m'
_space_group_IT_number 123
_space_group_name_Hall '-P 4 2'
loop_
_atom_site_label
_atom_site_fract_x
_atom_site_fract_y
_atom_site_fract_z
Tb1 0.000 0.000 0.000
Nd1 0.500 0.500 0.500
S1 0.000 0.000 0.500
S2 0.500 0.500 0.000
# V in Å³ per atom: 22.588
# Electronic total energy in eV for the cell shown: -25.65
# Total moment in μB per cell: 0.0


# Nd3TeS2 | the Open Quantum Materials Database | PBE-GGA | relaxed
data_Nd3TeS2
_chemical_formula_sum 'Nd3 Te1 S2'
_cell_length_a 4.2030
_cell_length_b 4.2030
_cell_length_c 10.3409
_cell_angle_alpha 90.00
_cell_angle_beta 90.00
_cell_angle_gamma 120.00
_space_group_name_H-M_alt 'P -3 m 1'
_space_group_IT_number 164
_space_group_name_Hall '-P 3 2"'
loop_
_atom_site_label
_atom_site_fract_x
_atom_site_fract_y
_atom_site_fract_z
Nd1 0.0000 0.0000 0.0000
Nd2 0.3333 0.6667 0.2988
Te1 0.0000 0.0000 0.5000
S1 0.3333 0.6667 0.8462
# V in Å³ per atom: 26.367
# Electronic total energy in eV for the cell shown: -36.57
# Total moment in μB per cell: 0.0


# Nd2ThS5 | the Open Quantum Materials Database | PBE-GGA | relaxed
data_Nd2ThS5
_chemical_formula_sum 'Nd8 Th4 S20'
_cell_length_a 12.070
_cell_length_b 8.233
_cell_length_c 7.570
_cell_angle_alpha 90.00
_cell_angle_beta 90.00
_cell_angle_gamma 90.00
_space_group_name_H-M_alt 'P n m a'
_space_group_IT_number 62
loop_
_space_group_symop_operation_xyz
'x,y,z'
'-x,-y,-z'
'-x+1/2,-y,z+1/2'
'x+1/2,y,-z+1/2'
'x+1/2,-y+1/2,-z+1/2'
'-x+1/2,y+1/2,z+1/2'
'-x,y+1/2,-z'
'x,-y+1/2,z'
loop_
_atom_site_label
_atom_site_fract_x
_atom_site_fract_y
_atom_site_fract_z
Nd1 0.178 0.000 0.018
Th1 0.009 0.250 0.576
S1 0.001 0.250 0.959
S2 0.101 0.543 0.661
S3 0.186 0.250 0.327
S4 0.217 0.750 0.299
# V in Å³ per atom: 23.509
# Electronic total energy in eV for the cell shown: -216.07
# Total moment in μB per cell: 0.0


# NdTmS3 | the Open Quantum Materials Database | PBE-GGA | relaxed
data_NdTmS3
_chemical_formula_sum 'Nd4 Tm4 S12'
_cell_length_a 3.881
_cell_length_b 12.624
_cell_length_c 9.526
_cell_angle_alpha 90.00
_cell_angle_beta 90.00
_cell_angle_gamma 90.00
_space_group_name_H-M_alt 'C m c m'
_space_group_IT_number 63
_space_group_name_Hall '-C 2c 2'
loop_
_atom_site_label
_atom_site_fract_x
_atom_site_fract_y
_atom_site_fract_z
Nd1 0.000 0.247 0.250
Tm1 0.000 0.500 0.000
S1 0.000 0.142 0.564
S2 0.000 0.412 0.750
# V in Å³ per atom: 23.335
# Electronic total energy in eV for the cell shown: -128.08
# Total moment in μB per cell: 0.0


# NdTmS3 | the Open Quantum Materials Database | PBE-GGA | relaxed
data_NdTmS3
_chemical_formula_sum 'Nd8 Tm8 S24'
_cell_length_a 10.982
_cell_length_b 3.941
_cell_length_c 21.443
_cell_angle_alpha 90.00
_cell_angle_beta 101.64
_cell_angle_gamma 90.00
_space_group_name_H-M_alt 'P 1 21/m 1'
_space_group_IT_number 11
loop_
_space_group_symop_operation_xyz
'x,y,z'
'-x,-y,-z'
'-x,y+1/2,-z'
'x,-y+1/2,z'
loop_
_atom_site_label
_atom_site_fract_x
_atom_site_fract_y
_atom_site_fract_z
Nd1 0.091 0.250 0.363
Nd2 0.202 0.250 0.037
Nd3 0.304 0.750 0.734
Nd4 0.308 0.250 0.233
Tm1 0.030 0.250 0.852
Tm2 0.180 0.250 0.546
Tm3 0.446 0.250 0.917
Tm4 0.478 0.750 0.412
S1 0.039 0.250 0.229
S2 0.058 0.750 0.945
S3 0.085 0.750 0.463
S4 0.125 0.250 0.664
S5 0.205 0.750 0.135
S6 0.252 0.750 0.326
S7 0.254 0.250 0.823
S8 0.342 0.750 0.599
S9 0.355 0.750 0.986
S10 0.363 0.250 0.464
S11 0.452 0.250 0.134
S12 0.495 0.250 0.720
# V in Å³ per atom: 22.723
# Electronic total energy in eV for the cell shown: -256.04
# Total moment in μB per cell: 0.0


# Nd2TmS3 | the Open Quantum Materials Database | PBE-GGA | relaxed
data_Nd2TmS3
_chemical_formula_sum 'Nd2 Tm1 S3'
_cell_length_a 3.9655
_cell_length_b 3.9655
_cell_length_c 9.8989
_cell_angle_alpha 90.00
_cell_angle_beta 90.00
_cell_angle_gamma 120.00
_space_group_name_H-M_alt 'P -3 m 1'
_space_group_IT_number 164
_space_group_name_Hall '-P 3 2"'
loop_
_atom_site_label
_atom_site_fract_x
_atom_site_fract_y
_atom_site_fract_z
Nd1 0.3333 0.6667 0.1707
Tm1 0.0000 0.0000 0.5000
S1 0.0000 0.0000 0.0000
S2 0.3333 0.6667 0.6500
# V in Å³ per atom: 22.468
# Electronic total energy in eV for the cell shown: -38.37
# Total moment in μB per cell: 0.0


# NdYS2 | the Open Quantum Materials Database | PBE-GGA | relaxed
data_NdYS2
_chemical_formula_sum 'Nd2 Y2 S4'
_cell_length_a 6.870
_cell_length_b 3.977
_cell_length_c 6.961
_cell_angle_alpha 90.00
_cell_angle_beta 109.29
_cell_angle_gamma 90.00
_space_group_name_H-M_alt 'C 1 2/m 1'
_space_group_IT_number 12
loop_
_space_group_symop_operation_xyz
'x,y,z'
'-x,-y,-z'
'-x,y,-z'
'x,-y,z'
'x+1/2,y+1/2,z'
'-x+1/2,-y+1/2,-z'
'-x+1/2,y+1/2,-z'
'x+1/2,-y+1/2,z'
loop_
_atom_site_label
_atom_site_fract_x
_atom_site_fract_y
_atom_site_fract_z
Nd1 0.000 0.000 0.000
Y1 0.000 0.500 0.500
S1 0.245 0.000 0.735
# V in Å³ per atom: 22.441
# Electronic total energy in eV for the cell shown: -55.10
# Total moment in μB per cell: 0.0